12
Lattice="10.0909 0.0000 0.0000 0.0000 3.9678 0.0000 -4.9605 0.0000 9.1173" Properties=species:S:1:pos:R:3 comment="PBE-GGA CsBeCrTe3, optimized geometry" total_energy_ev_per_atom=-4.3010 volume_a3_per_cell=365 pbc="T T T"
Cs -0.7190 0.9920 2.1987
Cs 5.8494 2.9759 6.9186
Be 2.8671 2.9759 3.7538
Be 2.2633 0.9920 5.3635
Cr 4.4160 0.9920 1.0381
Cr 0.7144 2.9759 8.0792
Te -1.0306 0.9920 7.6541
Te 2.4802 2.9759 1.3625
Te 0.7781 2.9759 5.1423
Te 4.3524 0.9920 3.9750
Te 2.6502 0.9920 7.7548
Te 6.1610 2.9759 1.4633

=====

12
Lattice="9.4396 -2.0643 0.0000 9.4396 2.0643 0.0000 -2.6894 0.0000 8.3391" Properties=species:S:1:pos:R:3 comment="PBE-GGA Th6TeOs3S2, optimized geometry" total_energy_ev_per_atom=-8.4246 volume_a3_per_cell=325 pbc="T T T"
Th -0.4793 0.0000 1.8281
Th 4.8830 0.0000 3.6213
Th 3.9408 0.0000 7.5252
Th 12.2490 0.0000 0.8139
Th 11.3067 0.0000 4.7178
Th 16.6690 0.0000 6.5110
Te 8.0949 0.0000 4.1695
Os 2.2589 0.0000 2.7311
Os 9.4396 0.0000 0.0000
Os 13.9308 0.0000 5.6079
S 0.9294 0.0000 6.9556
S 15.2603 0.0000 1.3835

=====

16
Lattice="6.0391 0.0000 0.0000 0.0000 12.9336 0.0000 0.0000 0.0000 4.9722" Properties=species:S:1:pos:R:3 comment="PBE-GGA In3Ir, optimized geometry" delta_e_f_kj_per_mol_fu=109 volume_a3_per_cell=388 pbc="T T T"
In 0.0000 0.8937 1.2431
In 0.0000 12.0399 3.7292
In 1.5080 2.3009 3.7292
In 1.5116 4.1659 1.2431
In 1.5116 8.7676 3.7292
In 1.5080 10.6327 1.2431
In 3.0196 5.5731 3.7292
In 3.0196 7.3605 1.2431
In 4.5311 2.3009 3.7292
In 4.5275 4.1659 1.2431
In 4.5275 8.7676 3.7292
In 4.5311 10.6327 1.2431
Ir 0.0000 6.4283 1.2431
Ir 0.0000 6.5053 3.7292
Ir 3.0196 0.0385 3.7292
Ir 3.0196 12.8951 1.2431

=====

12
Lattice="8.4561 -1.9654 0.0000 8.4561 1.9654 0.0000 -4.1995 0.0000 8.3031" Properties=species:S:1:pos:R:3 comment="PBE-GGA PmPu3Ru2, optimized geometry" delta_e_f_kj_per_mol_fu=-30 volume_a3_per_cell=276 relative_energy_mev_per_atom=0 pbc="T T T"
Pm 1.5203 0.0000 1.1812
Pm 11.1925 0.0000 7.1219
Pu -2.6457 0.0000 5.4059
Pu 4.9731 0.0000 0.8827
Pu 3.4922 0.0000 4.2477
Pu 9.2206 0.0000 4.0554
Pu 7.7397 0.0000 7.4204
Pu 15.3585 0.0000 2.8972
Ru 0.4237 0.0000 5.7453
Ru 7.5572 0.0000 1.1551
Ru 5.1556 0.0000 7.1480
Ru 12.2891 0.0000 2.5578

=====

16
Lattice="6.0033 0.0000 0.0000 0.0000 6.0033 0.0000 0.0000 0.0000 11.8883" Properties=species:S:1:pos:R:3 comment="PBE-GGA AlFeSb2, optimized geometry" total_energy_ev_per_atom=-4.7390 volume_a3_per_cell=428 pbc="T T T"
Al 0.0000 0.0000 0.0000
Al 0.0000 3.0017 2.9721
Al 3.0017 0.0000 8.9162
Al 3.0017 3.0017 5.9441
Fe 0.0000 0.0000 5.9441
Fe 0.0000 3.0017 8.9162
Fe 3.0017 0.0000 2.9721
Fe 3.0017 3.0017 0.0000
Sb 1.2668 1.5008 7.4302
Sb 1.5008 4.2685 10.4022
Sb 1.5008 4.7365 4.4581
Sb 1.7349 1.5008 1.4860
Sb 4.2685 4.5025 1.4860
Sb 4.5025 1.2668 4.4581
Sb 4.5025 1.7349 10.4022
Sb 4.7365 4.5025 7.4302

=====

16
Lattice="6.3354 0.0000 0.0000 0.0000 6.3354 0.0000 0.0000 0.0000 6.3354" Properties=species:S:1:pos:R:3 comment="PBE-GGA MgTaZnIr, optimized geometry" delta_e_f_kj_per_mol_fu=-126 volume_a3_per_cell=254 pbc="T T T"
Mg 0.0000 0.0000 0.0000
Mg 0.0000 3.1677 3.1677
Mg 3.1677 0.0000 3.1677
Mg 3.1677 3.1677 0.0000
Ta 0.0000 0.0000 3.1677
Ta 0.0000 3.1677 0.0000
Ta 3.1677 0.0000 0.0000
Ta 3.1677 3.1677 3.1677
Zn 1.5839 1.5839 1.5839
Zn 1.5839 4.7516 4.7516
Zn 4.7516 1.5839 4.7516
Zn 4.7516 4.7516 1.5839
Ir 1.5839 1.5839 4.7516
Ir 1.5839 4.7516 1.5839
Ir 4.7516 1.5839 1.5839
Ir 4.7516 4.7516 4.7516

=====

6
Lattice="4.2004 0.0000 0.0000 0.0000 4.2004 0.0000 0.0000 0.0000 16.8222" Properties=species:S:1:pos:R:3 comment="PBE-GGA BaSr4Tl, optimized geometry" delta_e_f_kj_per_mol_fu=-77 volume_a3_per_cell=297 relative_energy_mev_per_atom=0 pbc="T T T"
Ba 0.0000 0.0000 0.0000
Sr 0.0000 0.0000 6.4567
Sr 0.0000 0.0000 10.3654
Sr 2.1002 2.1002 3.2791
Sr 2.1002 2.1002 13.5431
Tl 2.1002 2.1002 8.4111

=====

10
Lattice="7.6811 0.0000 0.0000 3.6316 6.7791 0.0000 3.6353 2.1746 6.4203" Properties=species:S:1:pos:R:3 comment="PBE-GGA Rb2YGaCl6, optimized geometry" total_energy_ev_per_atom=-4.1254 volume_a3_per_cell=334 pbc="T T T"
Rb 0.0000 0.0000 0.0000
Rb 7.1843 4.2906 3.0847
Y 3.5880 2.1429 1.5404
Ga 11.0603 6.6188 4.7499
Cl 3.5733 3.8795 3.5496
Cl 5.6941 7.2748 2.9589
Cl 5.1122 3.7899 0.1213
Cl 7.2363 2.5796 5.9522
Cl 5.7597 0.9908 2.5443
Cl 9.0977 3.2946 0.5359

=====

12
Lattice="7.1183 -2.7199 0.0000 7.1183 2.7199 0.0000 -1.0369 0.0000 5.1167" Properties=species:S:1:pos:R:3 comment="PBE-GGA Ta2TiGa3, optimized geometry" delta_e_f_kj_per_mol_fu=-127 volume_a3_per_cell=198 pbc="T T T"
Ta 2.3098 0.7262 0.3175
Ta 1.7913 -0.7262 2.8759
Ta 11.4083 0.7262 2.2408
Ta 10.8899 -0.7262 4.7992
Ti 6.8590 0.6338 1.2792
Ti 6.3406 -0.6338 3.8375
Ga 6.3406 2.0765 3.8375
Ga 4.3164 0.7088 2.2807
Ga 3.7980 -0.7088 4.8390
Ga 9.4016 0.7088 0.2777
Ga 8.8832 -0.7088 2.8360
Ga 6.8590 -2.0765 1.2792

=====

16
Lattice="7.7481 0.0000 0.0000 0.0000 7.7481 0.0000 0.0000 0.0000 7.7481" Properties=species:S:1:pos:R:3 comment="PBE-GGA K2CdCo, optimized geometry" delta_e_f_kj_per_mol_fu=272 volume_a3_per_cell=465 pbc="T T T"
K 0.0000 0.0000 0.0000
K 0.0000 3.8740 3.8740
K 1.9370 1.9370 1.9370
K 1.9370 5.8111 5.8111
K 3.8740 0.0000 3.8740
K 3.8740 3.8740 0.0000
K 5.8111 1.9370 5.8111
K 5.8111 5.8111 1.9370
Cd 1.9370 1.9370 5.8111
Cd 1.9370 5.8111 1.9370
Cd 5.8111 1.9370 1.9370
Cd 5.8111 5.8111 5.8111
Co 0.0000 0.0000 3.8740
Co 0.0000 3.8740 0.0000
Co 3.8740 0.0000 0.0000
Co 3.8740 3.8740 3.8740

=====

3
Lattice="4.6766 0.0000 0.0000 -2.3383 4.0501 0.0000 0.0000 0.0000 4.6417" Properties=species:S:1:pos:R:3 comment="PBE-GGA BaAgGe, optimized geometry" delta_e_f_kj_per_mol_fu=-110 volume_a3_per_cell=88 pbc="T T T"
Ba 0.0000 0.0000 0.0000
Ag 0.0000 2.7001 2.3209
Ge 2.3383 1.3500 2.3209

=====

14
Lattice="7.1451 0.0000 0.0000 0.0000 7.1451 0.0000 0.0000 0.0000 7.1451" Properties=species:S:1:pos:R:3 comment="PBE-GGA Zn3GaAg3, optimized geometry" delta_e_f_kj_per_mol_fu=352 volume_a3_per_cell=365 relative_energy_mev_per_atom=514 pbc="T T T"
Zn 0.0000 1.7863 3.5725
Zn 0.0000 5.3588 3.5725
Zn 1.7863 3.5725 0.0000
Zn 3.5725 0.0000 1.7863
Zn 3.5725 0.0000 5.3588
Zn 5.3588 3.5725 0.0000
Ga 0.0000 0.0000 0.0000
Ga 3.5725 3.5725 3.5725
Ag 0.0000 3.5725 1.7863
Ag 0.0000 3.5725 5.3588
Ag 1.7863 0.0000 3.5725
Ag 3.5725 1.7863 0.0000
Ag 3.5725 5.3588 0.0000
Ag 5.3588 0.0000 3.5725